[1]
A relaxed structure of LiOsCl2, computed with PBE.

```
4
Lattice="3.3892 0.0038 0.0000 -1.5785 2.9992 0.0000 0.0000 0.0000 6.6868" Properties=species:S:1:pos:R:3 pbc="T T T"
Li 0.9054 1.5015 1.6717
Os 0.9054 1.5015 5.0151
Cl 0.0000 0.0000 6.6554
Cl 0.0000 0.0000 3.3747
```

Results
The energy above the lowest structure with this stoichiometry is 0.426 eV per atom. The value obtained for the magnetic moment is 0.01 Bohr magnetons per cell. The formation energy without anion corrections comes out at 157 meV per atom. The volume comes out at 17.003 Å³/atom.

[2]
A relaxed structure of LiOsCl, computed with PBE.

```
3
Lattice="2.8765 0.0000 0.0000 -1.4383 2.4911 0.0000 0.0000 0.0000 6.1015" Properties=species:S:1:pos:R:3 pbc="T T T"
Li 0.0000 1.6608 1.8868
Os 1.4383 0.8304 4.0913
Cl 0.0000 0.0000 0.1233
```

Results
The energy above the lowest structure with this stoichiometry is 0.000 eV per atom. The value obtained for the magnetic moment is 0.53 Bohr magnetons per cell. The formation energy without anion corrections comes out at 395 meV per atom. The volume comes out at 14.574 Å³/atom.

[3]
A relaxed structure of LiOsCl4, computed with PBE.

```
6
Lattice="-5.0783 2.9653 1.1001 -1.0344 5.2537 -2.6685 -4.1953 0.4248 -4.2439" Properties=species:S:1:pos:R:3 pbc="T T T"
Li -7.7310 6.4829 -4.3593
Os 0.0000 0.0000 0.0000
Cl -3.8662 3.2420 -2.1800
Cl -6.4040 4.7239 -1.6302
Cl -5.9628 3.4543 -4.3009
Cl -4.3831 5.8675 -3.5136
```

Results
The value obtained for the magnetic moment is 7.06 Bohr magnetons per cell. The formation energy without anion corrections comes out at 1096 meV per atom. The volume comes out at 25.236 Å³/atom.

[4]
A relaxed structure of LiOs2Cl11, computed with PBE.

```
28
Lattice="13.1273 -0.2377 7.0862 5.9335 7.8583 4.5223 2.9365 0.2823 10.7316" Properties=species:S:1:pos:R:3 pbc="T T T"
Cl 11.4911 3.9050 9.0194
Cl 5.9895 5.1417 7.3382
Cl 6.8134 1.9353 4.1194
Cl 13.1452 5.8565 12.8304
Cl 3.8890 1.0594 10.4309
Cl 13.3045 6.5981 9.6571
Cl 14.2647 3.6533 10.6826
Cl 11.3145 6.2063 15.9959
Cl 15.0272 0.0661 14.8067
Cl 5.3410 5.5175 4.1622
Cl 9.2281 1.5403 10.2850
Cl 7.6865 0.4872 12.9972
Cl 1.3157 0.2872 2.9076
Cl 17.3682 7.4448 13.3591
Cl 11.5089 3.0888 12.3209
Cl 15.0209 3.2769 13.9585
Cl 13.9287 2.2278 16.9141
Cl 8.1356 3.6904 12.3810
Cl 10.3899 6.0723 11.1322
Cl 16.8288 7.8219 17.1760
Cl 4.7023 1.9310 7.4105
Cl 16.6855 3.9446 16.6915
Li 17.1071 6.1068 15.4402
Li 5.4589 3.4338 5.5164
Os 12.3617 4.9526 10.8536
Os 6.3712 6.8659 5.7685
Os 9.4299 1.8386 12.5197
Os 15.7920 2.0205 15.6492
```

Results
The value obtained for the magnetic moment is 11.78 Bohr magnetons per cell. The formation energy without anion corrections comes out at -559 meV per atom. The volume comes out at 33.951 Å³/atom.

[5]
A relaxed structure of LiP2OsCl, computed with PBE.

```
5
Lattice="4.4637 0.0000 0.0000 0.0000 4.4637 0.0000 0.0000 0.0000 5.7983" Properties=species:S:1:pos:R:3 pbc="T T T"
Os 0.0000 0.0000 0.0000
P 2.2319 0.0000 0.0000
P 0.0000 2.2319 0.0000
Li 2.2319 2.2319 2.8992
Cl 0.0000 0.0000 2.8992
```

Results
The energy above the lowest structure with this stoichiometry is 0.000 eV per atom. The value obtained for the magnetic moment is 0.00 Bohr magnetons per cell. The formation energy without anion corrections comes out at 87 meV per atom. The volume comes out at 23.106 Å³/atom.

[6]
A relaxed structure of LiPOsCl2, computed with PBE.

```
5
Lattice="5.0628 0.0000 0.0000 0.0000 5.0628 0.0000 0.0000 0.0000 4.4511" Properties=species:S:1:pos:R:3 pbc="T T T"
Cl 0.0000 2.5314 0.0000
Cl 2.5314 0.0000 0.0000
P 0.0000 0.0000 2.2256
Os 0.0000 0.0000 0.0000
Li 2.5314 2.5314 2.2256
```

Results
The energy above the lowest structure with this stoichiometry is 0.000 eV per atom. The value obtained for the magnetic moment is 0.00 Bohr magnetons per cell. The formation energy without anion corrections comes out at -35 meV per atom. The volume comes out at 22.818 Å³/atom.

[7]
A relaxed structure of LiP2OsCl, computed with PBE.

```
5
Lattice="4.2092 0.0000 0.0000 0.0000 4.2092 0.0000 0.0000 0.0000 4.3227" Properties=species:S:1:pos:R:3 pbc="T T T"
P 2.1046 0.0000 0.0000
P 0.0000 2.1046 0.0000
Li 0.0000 0.0000 0.0000
Os 2.1046 2.1046 2.1613
Cl 0.0000 0.0000 2.1613
```

Results
The energy above the lowest structure with this stoichiometry is 1.176 eV per atom. The value obtained for the magnetic moment is 0.00 Bohr magnetons per cell. The formation energy without anion corrections comes out at 1262 meV per atom. The volume comes out at 15.317 Å³/atom.

[8]
A relaxed structure of LiPOsCl2, computed with PBE.

```
5
Lattice="3.9486 0.0000 0.0000 0.0000 3.9486 0.0000 0.0000 0.0000 7.4014" Properties=species:S:1:pos:R:3 pbc="T T T"
Li 0.0000 0.0000 0.0000
Os 1.9743 1.9743 3.7007
Cl 1.9743 0.0000 0.0000
Cl 0.0000 1.9743 0.0000
P 0.0000 0.0000 3.7007
```

Results
The energy above the lowest structure with this stoichiometry is 0.890 eV per atom. The value obtained for the magnetic moment is 2.13 Bohr magnetons per cell. The formation energy without anion corrections comes out at 854 meV per atom. The volume comes out at 23.080 Å³/atom.